No. 1
An optimized crystal structure of TaOs3Au, computed with GGA-PBE.

Values from the calculation:
ΔE_f (eV per atom): 2.891
ΔE to the lowest computed polymorph (eV/atom): 0.623
Volume (Å³/f.u.): 106

a b c (Å): 4.725 4.725 4.725
angles (deg): 90.00 90.00 90.00
Space group Pm-3m (No. 221)
Inequivalent atoms, fractional coordinates:
Ta (0.000, 0.000, 0.000) [1 per cell]
Os (0.000, 0.500, 0.500) [3 per cell]
Au (0.500, 0.500, 0.500) [1 per cell]


No. 2
An optimized crystal structure of AgAuCl, computed with GGA-PBE.

Values from the calculation:
ΔE to the lowest computed polymorph (eV/atom): 0.049
Volume (Å³/f.u.): 58
Formation energy (no corrections) (eV per formula unit): 0.125

a b c (Å): 3.167 3.167 11.647
angles (deg): 90.00 90.00 90.00
Space group I4mm (No. 107)
Inequivalent atoms, fractional coordinates:
Ag (0.000, 0.000, 0.000) [2 per cell]
Au (0.000, 0.000, 0.659) [2 per cell]
Cl (0.000, 0.000, 0.346) [2 per cell]


No. 3
An optimized crystal structure of Ho2Fe14B, computed with GGA-PBE.

Values from the calculation:
ΔE_f (eV per atom): -0.115
Volume (Å³/f.u.): 224

a b c (Å): 8.699 8.699 11.865
angles (deg): 90.00 90.00 90.00
Space group P4_2/mnm (No. 136)
Inequivalent atoms, fractional coordinates:
Ho (0.144, 0.144, 0.000) [4 per cell]
Ho (0.233, 0.233, 0.500) [4 per cell]
Fe (0.000, 0.000, 0.384) [4 per cell]
Fe (0.000, 0.500, 0.000) [4 per cell]
Fe (0.037, 0.641, 0.174) [16 per cell]
Fe (0.066, 0.725, 0.373) [16 per cell]
Fe (0.097, 0.903, 0.200) [8 per cell]
Fe (0.183, 0.183, 0.254) [8 per cell]
B (0.125, 0.875, 0.500) [4 per cell]


No. 4
An optimized crystal structure of ZnCo2Tc, computed with GGA-PBE.

Values from the calculation:
ΔE_f (eV per atom): 0.087
Volume (Å³/f.u.): 49

a b c (Å): 8.703 2.615 4.437
angles (deg): 90.00 102.46 90.00
Space group Cm (No. 8)
Inequivalent atoms, fractional coordinates:
Zn (0.000, 0.000, 0.000) [2 per cell]
Co (0.253, 0.500, 0.188) [2 per cell]
Co (0.484, 0.000, 0.492) [2 per cell]
Tc (0.232, 0.000, 0.673) [2 per cell]


No. 5
An optimized crystal structure of K2Sr2BiO6, computed with GGA-PBE.

Values from the calculation:
Volume (Å³/f.u.): 220
Formation energy (no corrections) (eV per formula unit): -18.596

a b c (Å): 6.356 10.863 6.698
angles (deg): 90.00 107.69 90.00
Space group C2/m (No. 12)
Inequivalent atoms, fractional coordinates:
K (0.000, 0.161, 0.000) [4 per cell]
Sr (0.000, 0.340, 0.500) [4 per cell]
Bi (0.000, 0.000, 0.500) [2 per cell]
O (0.196, 0.150, 0.683) [8 per cell]
O (0.222, 0.000, 0.314) [4 per cell]


No. 6
An optimized crystal structure of Li2YTeS4, computed with GGA-PBE.

Values from the calculation:
Volume (Å³/f.u.): 172
Formation energy (no corrections) (eV per formula unit): -8.573

a b c (Å): 10.942 10.660 7.801
angles (deg): 90.00 130.72 90.00
Space group C2/c (No. 15)
Inequivalent atoms, fractional coordinates:
Li (0.000, 0.000, 0.000) [4 per cell]
Li (0.250, 0.250, 0.000) [4 per cell]
Y (0.000, 0.500, 0.000) [4 per cell]
Te (0.250, 0.250, 0.500) [4 per cell]
S (0.031, 0.244, 0.541) [8 per cell]
S (0.236, 0.500, 0.470) [8 per cell]


No. 7
An optimized crystal structure of SrLa2TiI, computed with GGA-PBE.

Values from the calculation:
Volume (Å³/f.u.): 221
Formation energy (no corrections) (eV per formula unit): 5.557

a b c (Å): 6.152 6.152 5.846
angles (deg): 90.00 90.00 90.00
Space group P4/mmm (No. 123)
Inequivalent atoms, fractional coordinates:
Sr (0.000, 0.000, 0.000) [1 per cell]
La (0.000, 0.500, 0.000) [2 per cell]
Ti (0.500, 0.500, 0.500) [1 per cell]
I (0.000, 0.000, 0.500) [1 per cell]


No. 8
An optimized crystal structure of CePu2Tc2, computed with GGA-PBE.

Values from the calculation:
ΔE_f (eV per atom): 0.171
ΔE to the lowest computed polymorph (eV/atom): 0.094
Volume (Å³/f.u.): 111

a b c (Å): 6.944 6.088 10.509
angles (deg): 90.00 90.00 90.00
Space group Cmcm (No. 63)
Inequivalent atoms, fractional coordinates:
Ce (0.000, 0.215, 0.250) [4 per cell]
Pu (0.000, 0.306, 0.618) [8 per cell]
Tc (0.216, 0.000, 0.000) [8 per cell]


No. 9
An optimized crystal structure of LaEr2Sn, computed with GGA-PBE.

Values from the calculation:
ΔE_f (eV per atom): -0.407
ΔE to the lowest computed polymorph (eV/atom): 0.035
Volume (Å³/f.u.): 115

a b c (Å): 4.908 4.908 4.790
angles (deg): 90.00 90.00 90.00
Space group P4/mmm (No. 123)
Inequivalent atoms, fractional coordinates:
La (0.000, 0.000, 0.000) [1 per cell]
Er (0.000, 0.500, 0.500) [2 per cell]
Sn (0.500, 0.500, 0.000) [1 per cell]


No. 10
An optimized crystal structure of Rb3H4Pd, computed with GGA-PBE.

Values from the calculation:
Total DFT energy (no corrections) (eV per atom): -2.840
Volume (Å³/f.u.): 171

a b c (Å): 6.124 9.862 5.676
angles (deg): 90.00 90.00 90.00
Space group Imm2 (No. 44)
Inequivalent atoms, fractional coordinates:
Rb (0.000, 0.000, 0.000) [2 per cell]
Rb (0.000, 0.259, 0.521) [4 per cell]
H (0.000, 0.327, 0.023) [4 per cell]
H (0.225, 0.000, 0.485) [4 per cell]
Pd (0.000, 0.500, 0.008) [2 per cell]


No. 11
An optimized crystal structure of LiNb2PtN, computed with GGA-PBE.

Values from the calculation:
Volume (Å³/f.u.): 70
Formation energy (no corrections) (eV per formula unit): -3.219

a b c (Å): 4.239 4.239 3.886
angles (deg): 90.00 90.00 90.00
Space group P4/mmm (No. 123)
Inequivalent atoms, fractional coordinates:
Li (0.000, 0.000, 0.000) [1 per cell]
Nb (0.000, 0.500, 0.500) [2 per cell]
Pt (0.500, 0.500, 0.000) [1 per cell]
N (0.000, 0.000, 0.500) [1 per cell]


No. 12
An optimized crystal structure of CdOsNCl2, computed with GGA-PBE.

Values from the calculation:
Volume (Å³/f.u.): 111
Formation energy (no corrections) (eV per formula unit): 4.060

a b c (Å): 5.509 5.509 3.653
angles (deg): 90.00 90.00 90.00
Space group P4/mmm (No. 123)
Inequivalent atoms, fractional coordinates:
Cd (0.000, 0.000, 0.000) [1 per cell]
Os (0.500, 0.500, 0.000) [1 per cell]
N (0.500, 0.500, 0.500) [1 per cell]
Cl (0.000, 0.500, 0.500) [2 per cell]


No. 13
An optimized crystal structure of Ta2TiO, computed with GGA-PBE.

Values from the calculation:
ΔE to the lowest computed polymorph (eV/atom): 1.294
Volume (Å³/f.u.): 61
Formation energy (no corrections) (eV per formula unit): 2.352

a b c (Å): 6.262 6.262 6.262
angles (deg): 90.00 90.00 90.00
Space group Fm-3m (No. 225)
Inequivalent atoms, fractional coordinates:
Ta (0.250, 0.250, 0.250) [8 per cell]
Ti (0.000, 0.000, 0.000) [4 per cell]
O (0.000, 0.000, 0.500) [4 per cell]


No. 14
An optimized crystal structure of La9YEr4, computed with GGA-PBE.

Values from the calculation:
ΔE_f (eV per atom): 0.149
Volume (Å³/f.u.): 502

a b c (Å): 10.0234 10.0234 11.5354
angles (deg): 90.00 90.00 120.00
Space group P6_3/mmc (No. 194)
Inequivalent atoms, fractional coordinates:
La (0.0804, 0.5402, 0.2500) [6 per cell]
La (0.2065, 0.4130, 0.5279) [12 per cell]
Y (0.3333, 0.6667, 0.7500) [2 per cell]
Er (0.0000, 0.0000, 0.0000) [2 per cell]
Er (0.1091, 0.2182, 0.2500) [6 per cell]


No. 15
An optimized crystal structure of Ac5Ge2Ru, computed with GGA-PBE.

Values from the calculation:
ΔE_f (eV per atom): -0.290
Volume (Å³/f.u.): 324

a b c (Å): 6.227 14.096 14.770
angles (deg): 90.00 90.00 90.00
Space group Cmcm (No. 63)
Inequivalent atoms, fractional coordinates:
Ac (0.000, 0.052, 0.117) [8 per cell]
Ac (0.000, 0.285, 0.750) [4 per cell]
Ac (0.000, 0.329, 0.091) [8 per cell]
Ge (0.000, 0.167, 0.564) [8 per cell]
Ru (0.000, 0.192, 0.250) [4 per cell]


No. 16
An optimized crystal structure of TlIn2Hg, computed with GGA-PBE.

Values from the calculation:
ΔE_f (eV per atom): 0.021
Volume (Å³/f.u.): 110

a b c (Å): 3.408 3.408 9.467
angles (deg): 90.00 90.00 90.00
Space group P4/mmm (No. 123)
Inequivalent atoms, fractional coordinates:
Tl (0.000, 0.000, 0.000) [1 per cell]
In (0.500, 0.500, 0.268) [2 per cell]
Hg (0.000, 0.000, 0.500) [1 per cell]


No. 17
An optimized crystal structure of Nd3Mn2Si4, computed with GGA-PBE.

Values from the calculation:
Volume (Å³/f.u.): 181
Formation energy (no corrections) (eV per formula unit): -4.911

a b c (Å): 11.328 4.095 8.230
angles (deg): 90.00 108.36 90.00
Space group C2/m (No. 12)
Inequivalent atoms, fractional coordinates:
Nd (0.000, 0.000, 0.000) [2 per cell]
Nd (0.115, 0.500, 0.691) [4 per cell]
Mn (0.200, 0.500, 0.371) [4 per cell]
Si (0.103, 0.000, 0.399) [4 per cell]
Si (0.219, 0.500, 0.074) [4 per cell]


No. 18
An optimized crystal structure of SrAcLa, computed with GGA-PBE.

Values from the calculation:
ΔE_f (eV per atom): 0.063
ΔE to the lowest computed polymorph (eV/atom): 0.026
Volume (Å³/f.u.): 134

a b c (Å): 3.9690 3.9690 9.8395
angles (deg): 90.00 90.00 120.00
Space group P3m1 (No. 156)
Inequivalent atoms, fractional coordinates:
Sr (0.0000, 0.0000, 0.0000) [1 per cell]
Ac (0.6667, 0.3333, 0.3535) [1 per cell]
La (0.3333, 0.6667, 0.6568) [1 per cell]


No. 19
An optimized crystal structure of Tb2PrHoTm2, computed with GGA-PBE.

Values from the calculation:
ΔE_f (eV per atom): 0.279
Volume (Å³/f.u.): 197

a b c (Å): 6.478 17.870 3.405
angles (deg): 90.00 90.00 90.00
Space group Pnnm (No. 58)
Inequivalent atoms, fractional coordinates:
Tb (0.218, 0.189, 0.000) [4 per cell]
Pr (0.000, 0.000, 0.000) [2 per cell]
Ho (0.000, 0.500, 0.000) [2 per cell]
Tm (0.216, 0.353, 0.500) [4 per cell]


No. 20
An optimized crystal structure of PmU2SiN5, computed with GGA-PBE.

Values from the calculation:
Volume (Å³/f.u.): 115
Formation energy (no corrections) (eV per formula unit): -10.023

a b c (Å): 6.471 6.471 5.483
angles (deg): 90.00 90.00 90.00
Space group P4/mbm (No. 127)
Inequivalent atoms, fractional coordinates:
Pm (0.000, 0.000, 0.000) [2 per cell]
U (0.174, 0.326, 0.500) [4 per cell]
Si (0.000, 0.500, 0.000) [2 per cell]
N (0.000, 0.000, 0.500) [2 per cell]
N (0.142, 0.642, 0.237) [8 per cell]